The following is a DFT calculation (GGA-PBE) of crystalline MoPtC at its relaxed geometry.

Values from the calculation:
distance to the lowest polymorph of the same formula	0.036	eV/atom
formation energy	0.3	eV/f.u.

Unit cell a=2.898 b=2.898 c=4.609 alpha=90.00 beta=90.00 gamma=90.00
Element x y z (fractional)
Mo 0.000 0.000 0.514
Pt 0.500 0.500 0.952
C 0.500 0.500 0.391


The following is a DFT calculation (GGA-PBE) of crystalline Cs12Zn5Bi3 at its relaxed geometry.

Values from the calculation:
formation energy	1.2	eV/f.u.

Unit cell a=19.328 b=19.328 c=19.328 alpha=109.47 beta=109.47 gamma=109.47
Element x y z (fractional)
Cs 0.060 0.638 0.731
Cs 0.440 0.671 0.078
Cs 0.940 0.362 0.269
Cs 0.407 0.269 0.329
Cs 0.578 0.638 0.407
Cs 0.171 0.078 0.940
Cs 0.171 0.093 0.731
Cs 0.671 0.440 0.578
Cs 0.231 0.560 0.638
Cs 0.060 0.422 0.829
Cs 0.731 0.593 0.171
Cs 0.829 0.907 0.269
Cs 0.093 0.171 0.231
Cs 0.362 0.422 0.093
Cs 0.231 0.671 0.093
Cs 0.593 0.731 0.671
Cs 0.138 0.407 0.078
Cs 0.769 0.329 0.907
Cs 0.078 0.171 0.440
Cs 0.922 0.093 0.862
Cs 0.422 0.060 0.329
Cs 0.578 0.940 0.671
Cs 0.862 0.593 0.922
Cs 0.769 0.440 0.362
Cs 0.269 0.862 0.940
Cs 0.593 0.862 0.422
Cs 0.671 0.231 0.593
Cs 0.138 0.731 0.560
Cs 0.560 0.329 0.922
Cs 0.638 0.578 0.907
Cs 0.829 0.922 0.060
Cs 0.922 0.829 0.560
Cs 0.638 0.060 0.231
Cs 0.093 0.922 0.362
Cs 0.329 0.560 0.422
Cs 0.362 0.940 0.769
Cs 0.731 0.138 0.060
Cs 0.907 0.078 0.638
Cs 0.329 0.769 0.407
Cs 0.422 0.362 0.593
Cs 0.862 0.269 0.440
Cs 0.407 0.138 0.578
Cs 0.560 0.231 0.138
Cs 0.907 0.829 0.769
Cs 0.440 0.769 0.862
Cs 0.940 0.578 0.171
Cs 0.078 0.907 0.138
Cs 0.269 0.407 0.829
Bi 0.750 0.875 0.625
Bi 0.125 0.250 0.875
Bi 0.125 0.875 0.750
Bi 0.750 0.375 0.125
Bi 0.875 0.125 0.250
Bi 0.375 0.750 0.625
Bi 0.625 0.375 0.750
Bi 0.625 0.250 0.375
Bi 0.250 0.625 0.875
Bi 0.875 0.750 0.125
Bi 0.250 0.125 0.375
Bi 0.375 0.625 0.250
Zn 0.750 0.125 0.875
Zn 0.500 0.000 0.000
Zn 0.750 0.625 0.375
Zn 0.625 0.750 0.875
Zn 0.125 0.750 0.375
Zn 0.000 0.000 0.000
Zn 0.500 0.500 0.000
Zn 0.500 0.000 0.500
Zn 0.125 0.375 0.250
Zn 0.375 0.125 0.750
Zn 0.000 0.000 0.500
Zn 0.000 0.500 0.000
Zn 0.875 0.250 0.625
Zn 0.625 0.875 0.250
Zn 0.250 0.375 0.625
Zn 0.000 0.500 0.500
Zn 0.875 0.625 0.750
Zn 0.250 0.875 0.125
Zn 0.375 0.250 0.125
Zn 0.500 0.500 0.500


The following is a DFT calculation (GGA-PBE) of crystalline LaSm3Ag2 at its relaxed geometry.

Values from the calculation:
formation energy	-1.0	eV/f.u.

Unit cell a=3.711 b=3.711 c=12.605 alpha=90.00 beta=90.00 gamma=90.00
Element x y z (fractional)
Sm 0.000 0.000 0.000
Sm 0.000 0.000 0.706
Sm 0.000 0.000 0.294
Ag 0.500 0.500 0.852
Ag 0.500 0.500 0.148
La 0.500 0.500 0.500


The following is a DFT calculation (GGA-PBE) of crystalline TlHgSF at its relaxed geometry.

Values from the calculation:
formation energy from raw total energies	-0.886	eV/atom

Unit cell a=4.360 b=4.360 c=13.891 alpha=80.97 beta=80.97 gamma=60.00
Element x y z (fractional)
Hg 0.203 0.203 0.390
Hg 0.797 0.797 0.610
F 0.645 0.645 0.064
F 0.355 0.355 0.936
Tl 0.294 0.294 0.118
Tl 0.706 0.706 0.882
S 0.127 0.127 0.620
S 0.873 0.873 0.380


Number 1: mass density 13.0 g/cm³, V 38.7 Å³/f.u., raw total energy -8.58 eV per atom. Number 2: mass density 3.0 g/cm³, V 1389.5 Å³/f.u., raw total energy -1.35 eV per atom. Number 3: mass density 7.7 g/cm³, V 173.6 Å³/f.u., raw total energy -4.30 eV per atom. Number 4: mass density 6.7 g/cm³, V 112.4 Å³/f.u., raw total energy -3.05 eV per atom.